{"formula": "MoOsF2", "functional": "PBE with a Hubbard U", "state": "relaxed", "lattice_angstrom": [[-1.8789, 1.8789, 8.0067], [1.8789, -1.8789, 8.0067], [1.8789, 1.8789, -8.0067]], "species": ["Mo", "Mo", "Os", "Os", "F", "F", "F", "F"], "frac_coords": [[0.0000, 0.0000, 0.0000], [0.7500, 0.2500, 0.5000], [0.2500, 0.7500, 0.5000], [0.5000, 0.5000, 0.0000], [0.1274, 0.6250, 0.0024], [0.3750, 0.3774, 0.5024], [0.6226, 0.1250, 0.9976], [0.8750, 0.8726, 0.4976]], "energy_ev_per_cell": -43.559, "crystal_system": "tetragonal", "polymorph_energy_ev_per_atom": 0.172}